{
  "formula": "AcMgGaAu",
  "functional": "PBE-GGA",
  "state": "optimized geometry",
  "dos_ef_per_ev_atom": 0.63,
  "e_form_ev_per_atom": -0.521,
  "lattice_angstrom": [[0.0000, 3.6842, 3.6842], [3.6842, 0.0000, 3.6842], [3.6842, 3.6842, 0.0000]],
  "species": ["Ac", "Mg", "Ga", "Au"],
  "fractional_positions": [[0.0000, 0.0000, 0.0000], [0.5000, 0.5000, 0.5000], [0.2500, 0.2500, 0.2500], [0.7500, 0.7500, 0.7500]]
}